NdY2HoTm (PBE, relaxed); uncorrected energy = -49.589 eV for the cell shown; D(E_F) = 13.82 states/eV per cell; energy of formation = 0.390 eV per atom
1.0
4.204 -5.722 0.000
4.204 5.722 0.000
0.000 0.000 7.231
Nd Y Ho Tm
2 4 2 2
direct
0.230 0.770 0.750
0.770 0.230 0.250
0.191 0.191 0.000
0.191 0.191 0.500
0.809 0.809 0.000
0.809 0.809 0.500
0.499 0.501 0.750
0.501 0.499 0.250
0.223 0.777 0.250
0.777 0.223 0.750